A plane-wave DFT calculation with PBE-GGA was carried out for a geometry-optimized SrMg12Pb6 structure.

The structure in extended XYZ format:
```
19
Lattice="6.9106 3.9899 3.2271 -6.9106 3.9899 3.2271 0.0000 -7.9797 3.2271" Properties=species:S:1:pos:R:3 pbc="T T T"
Sr 0.0000 0.0000 0.0000
Mg -2.7020 -4.6799 4.8406
Mg -5.4039 0.0000 4.8406
Mg -1.6022 -0.9250 3.2735
Mg 1.6022 -0.9250 3.2735
Mg 0.0000 1.8500 3.2735
Mg 2.7020 -4.6799 4.8406
Mg -2.7020 4.6799 4.8406
Mg 0.0000 -1.8500 6.4078
Mg -1.6022 0.9250 6.4078
Mg 1.6022 0.9250 6.4078
Mg 5.4039 0.0000 4.8406
Mg 2.7020 4.6799 4.8406
Pb -3.3419 -1.9294 5.4946
Pb 0.0000 -3.8588 4.1866
Pb -3.3419 1.9294 4.1866
Pb 3.3419 -1.9294 5.4946
Pb 0.0000 3.8588 5.4946
Pb 3.3419 1.9294 4.1866
```

Values from the calculation:
As for the total energy: -43.351 eV for the cell shown. Its formation energy is -0.01 eV per atom.